1.
Computed, not measured: crystalline Zr2NbO at its relaxed geometry at the PBE level of DFT.

```
Zr2NbO
1.0
-3.1084 -2.4776 5.0286
-2.0581 -4.8441 -3.6589
0.5448 -5.6937 1.6168
Nb O Zr
2 2 4
direct
0.0000 0.0000 0.0000
0.7500 0.2500 0.5000
0.5000 0.5000 0.0000
0.2500 0.7500 0.5000
0.5197 0.1250 0.2500
0.2303 0.6250 0.2500
0.3750 0.4803 0.7500
0.8750 0.7697 0.7500
```

## Properties
Symmetry ... I-42d (122)
Final energy ... -70.15 eV/cell

---

2.
Computed, not measured: crystalline ZrNbO2 at its relaxed geometry at the PBE level of DFT.

```
ZrNbO2
1.0
-2.3077 -1.3647 4.1995
4.2759 0.4920 2.5096
-0.1000 4.2522 4.2824
Nb O Zr
2 4 2
direct
0.0000 0.0000 0.0000
0.7500 0.2500 0.5000
0.6082 0.1250 0.2500
0.1418 0.6250 0.2500
0.3750 0.3918 0.7500
0.8750 0.8582 0.7500
0.5000 0.5000 0.0000
0.2500 0.7500 0.5000
```

## Properties
Symmetry ... I-42d (122)
Final energy ... -70.46 eV/cell

---

3.
Computed, not measured: crystalline Zr2NbO at its relaxed geometry at the PBE level of DFT.

```
Zr2NbO
1.0
-0.5320 -0.1153 -3.0139
-1.7843 -2.2040 -1.1568
-7.6739 4.2762 -0.3650
Nb O Zr
1 1 2
direct
0.0000 0.0000 0.0000
0.5000 0.5000 0.5000
0.1077 0.1077 0.6768
0.8923 0.8923 0.3232
```

## Properties
Symmetry ... R-3m (166)
Final energy ... -35.44 eV/cell

---

Looking at ΔE_f (raw) for the records above, in order, we have -0.7375; -1.6734; -0.8278 eV/atom.